First-principles (PBE) data for a relaxed structure of Co2NiPt, as listed in Alexandria.

E_form: -39 meV per atom
space group: Cm
energy: -6.548 eV per atom

Cell lengths 4.453, 4.453, 4.483 Å; angles 79.84, 79.84, 34.35 degrees
Site moments in Bohr magnetons follow the coordinates.
Fractional coordinates of all 4 atoms:
1 Ni 0.504 0.504 0.484  0.78
2 Co 0.996 0.996 0.014  1.82
3 Co 0.252 0.252 0.250  1.71
4 Pt 0.748 0.748 0.751  0.35